A relaxed TbEr2Al crystal, computed with PBE.

Uncorrected energy, eV per atom: -4.402
Energy of formation, eV/atom: -0.028
Polymorph energy (0 for the lowest one), meV/atom: 172

Geometry as POSCAR:
```
TbEr2Al
1.0
-3.410 -1.324 3.863
1.828 -1.814 4.655
-0.378 3.018 4.364
Tb Al Er
1 1 2
direct
0.000 0.000 0.000
0.500 0.500 0.500
0.250 0.250 0.250
0.750 0.750 0.750
```